(1)
A plane-wave DFT calculation with GGA-PBE was carried out for a relaxed structure of ErSi6.

**Formation energy from raw total energies**: 220 meV/atom
**Total magnetization**: 0.000 μB/cell
**DFT total energy**: -71.1 eV per cell

Unit cell a=6.6473 b=6.6473 c=6.6473 alpha=90.00 beta=90.00 gamma=90.00
Closest atoms and distances in Å follow each position.
Space group Im-3m (No. 229)
Inequivalent atoms, fractional coordinates:
Er 0.0000 0.0000 0.0000 [2 per cell]  24 Si 3.72
Si 0.0000 0.2500 0.5000 [12 per cell]  4 Si 2.35


(2)
A plane-wave DFT calculation with GGA-PBE was carried out for a relaxed structure of Zr2TaP.

**Formation energy**: -0.41 eV/atom
**Total magnetization**: 0.000 μB/cell
**DFT total energy**: -72.0 eV per cell

Unit cell a=3.7190 b=5.0405 c=8.2247 alpha=90.00 beta=90.00 gamma=90.00
Closest atoms and distances in Å follow each position.
Space group Cmmm (No. 65)
Inequivalent atoms, fractional coordinates:
Zr 0.0000 0.0000 0.2221 [4 per cell]  2 P 2.61
Ta 0.0000 0.5000 0.5000 [2 per cell]  4 Zr 2.95, 4 Ta 3.13
P 0.0000 0.5000 0.0000 [2 per cell]  4 Zr 2.61


(3)
A plane-wave DFT calculation with GGA-PBE was carried out for a relaxed structure of Pr2Nd7.

**Formation energy**: 0.01 eV/atom
**Polymorph energy (0 for the lowest one)**: 0 meV per atom
**Total magnetization**: 0.000 μB/cell
**DFT total energy**: -42.8 eV per cell

Unit cell a=6.3996 b=6.3996 c=9.0049 alpha=90.00 beta=90.00 gamma=120.00
Closest atoms and distances in Å follow each position.
Space group P-31m (No. 162)
Inequivalent atoms, fractional coordinates:
Pr 0.3333 0.6667 0.0000 [2 per cell]  9 Nd 3.69, 3 Pr 3.69
Nd 0.0000 0.0000 0.0000 [1 per cell]  6 Nd 3.69, 6 Pr 3.69
Nd 0.0000 0.3331 0.6660 [6 per cell]  10 Nd 3.67-3.70, 2 Pr 3.69


(4)
A plane-wave DFT calculation with GGA-PBE was carried out for a relaxed structure of NaCa2As2.

**Formation energy**: -0.79 eV/atom
**Polymorph energy (0 for the lowest one)**: 70 meV per atom
**Total magnetization**: 0.000 μB/cell
**DFT total energy**: -37.1 eV per cell

Unit cell a=8.6037 b=8.6037 c=3.4297 alpha=90.00 beta=90.00 gamma=90.00
Closest atoms and distances in Å follow each position.
Space group P4/mbm (No. 127)
Inequivalent atoms, fractional coordinates:
Na 0.0000 0.0000 0.0000 [2 per cell]  4 Ca 3.35, 2 Na 3.43, 8 As 3.64
Ca 0.1337 0.3663 0.0000 [4 per cell]  6 As 2.97-3.11, 1 Ca 3.25
As 0.1666 0.6666 0.5000 [4 per cell]  6 Ca 2.97-3.11


(5)
A plane-wave DFT calculation with GGA-PBE was carried out for a relaxed structure of RbMo3W.

**Formation energy**: 1.98 eV/atom
**Polymorph energy (0 for the lowest one)**: 0 meV per atom
**Total magnetization**: 0.000 μB/cell
**DFT total energy**: -36.5 eV per cell

Unit cell a=4.9384 b=4.9384 c=4.9384 alpha=90.00 beta=90.00 gamma=90.00
Closest atoms and distances in Å follow each position.
Space group Pm-3m (No. 221)
Inequivalent atoms, fractional coordinates:
Rb 0.0000 0.0000 0.0000 [1 per cell]  12 Mo 3.49
Mo 0.0000 0.5000 0.5000 [3 per cell]  2 W 2.47
W 0.5000 0.5000 0.5000 [1 per cell]  6 Mo 2.47


(6)
A plane-wave DFT calculation with GGA-PBE was carried out for a relaxed structure of TlCrTc4.

**Formation energy**: 0.57 eV/atom
**Total magnetization**: 6.590 μB/cell
**DFT total energy**: -200.2 eV per cell

Unit cell a=7.3364 b=7.3364 c=7.3364 alpha=90.00 beta=90.00 gamma=90.00
Closest atoms and distances in Å follow each position.
Space group F-43m (No. 216)
Inequivalent atoms, fractional coordinates:
Tl 0.0000 0.0000 0.0000 [4 per cell]  12 Tc 3.04, 4 Cr 3.18
Cr 0.2500 0.2500 0.7500 [4 per cell]  12 Tc 3.04, 4 Tl 3.18
Tc 0.1249 0.1249 0.3751 [16 per cell]  6 Tc 2.59-2.60


(7)
A plane-wave DFT calculation with GGA-PBE was carried out for a relaxed structure of Mg2Cd2Pd.

**Formation energy**: -0.35 eV/atom
**Polymorph energy (0 for the lowest one)**: 0 meV per atom
**Total magnetization**: 0.000 μB/cell
**DFT total energy**: -24.0 eV per cell

Unit cell a=3.1292 b=3.1292 c=19.9570 alpha=90.00 beta=90.00 gamma=90.00
Closest atoms and distances in Å follow each position.
Space group I4/mmm (No. 139)
Inequivalent atoms, fractional coordinates:
Mg 0.0000 0.0000 0.0815 [4 per cell]  4 Pd 2.75
Cd 0.0000 0.0000 0.3077 [4 per cell]  4 Mg 3.13, 8 Cd 3.13-3.19
Pd 0.0000 0.0000 0.5000 [2 per cell]  8 Mg 2.75


(8)
A plane-wave DFT calculation with GGA-PBE was carried out for a relaxed structure of NaSiIr2Ru.

**Formation energy from raw total energies**: 2267 meV/atom
**Total magnetization**: 1.216 μB/cell
**DFT total energy**: -22.4 eV per cell

Unit cell a=4.4413 b=4.4413 c=4.3697 alpha=90.00 beta=90.00 gamma=90.00
Closest atoms and distances in Å follow each position.
Space group P4/mmm (No. 123)
Inequivalent atoms, fractional coordinates:
Na 0.0000 0.0000 0.0000 [1 per cell]  2 Si 2.18, 4 Ir 2.22
Si 0.0000 0.0000 0.5000 [1 per cell]  2 Na 2.18
Ir 0.0000 0.5000 0.0000 [2 per cell]  2 Na 2.22
Ru 0.5000 0.5000 0.5000 [1 per cell]  8 Ir 3.12, 4 Si 3.14


Q: What is the DFT total energy in the first record?
A: -71.1 eV per cell